AlIr4Au | Alexandria | PBE | relaxed; DFT formation energy = 0.354 eV per atom; total DFT energy (no corrections) = -40.340 eV per formula unit; space group = F-43m, No. 216; spin magnetization = 0.00 μB/atom
1.0
0.000 3.668 3.668
3.668 0.000 3.668
3.668 3.668 0.000
Al Ir Au
1 4 1
direct
0.750 0.750 0.750 Al
0.375 0.375 0.874 Ir
0.375 0.874 0.375 Ir
0.874 0.375 0.375 Ir
0.375 0.375 0.375 Ir
0.000 0.000 0.000 Au

---

AlIrAu2 | Alexandria | PBE | relaxed; DFT formation energy = 0.025 eV per atom; total DFT energy (no corrections) = -19.056 eV per formula unit; space group = Pmmm, No. 47; spin magnetization = 0.00 μB/atom
1.0
-1.348 -0.832 2.464
-1.193 -3.246 -1.749
4.752 -2.663 1.701
Au Al Ir
2 1 1
direct
0.000 0.000 0.506 Au
0.000 0.000 0.994 Au
0.500 0.500 0.750 Al
0.500 0.500 0.250 Ir

---

AlIrAu2 | Alexandria | PBE | relaxed; DFT formation energy = -0.150 eV per atom; total DFT energy (no corrections) = -19.758 eV per formula unit; space group = Cm, No. 8; spin magnetization = 0.00 μB/atom
1.0
-1.695 -2.326 -4.203
-1.363 -4.446 -2.079
-4.704 -0.547 0.190
Au Al Ir
2 1 1
direct
0.746 0.746 0.777 Au
0.978 0.978 0.981 Au
0.249 0.249 0.303 Al
0.527 0.527 0.439 Ir

---

AlIr2Au | Alexandria | PBE | relaxed; DFT formation energy = 0.239 eV per atom; total DFT energy (no corrections) = -23.787 eV per formula unit; space group = I-42d, No. 122; spin magnetization = 0.00 μB/atom
1.0
3.802 0.000 0.000
0.000 3.802 0.000
1.901 1.901 9.281
Al Ir Au
2 4 2
direct
0.250 0.750 0.500 Al
0.500 0.500 0.000 Al
0.875 0.855 0.750 Ir
0.375 0.395 0.750 Ir
0.605 0.125 0.250 Ir
0.145 0.625 0.250 Ir
0.000 0.000 0.000 Au
0.750 0.250 0.500 Au

---

Al6IrAu2 | Alexandria | PBE | relaxed; DFT formation energy = -0.542 eV per atom; total DFT energy (no corrections) = -42.750 eV per formula unit; space group = C2/m, No. 12; spin magnetization = 0.00 μB/atom
1.0
4.045 -0.004 -1.315
-0.890 5.283 -2.755
0.132 0.428 7.364
Au Al Ir
2 6 1
direct
0.333 0.333 0.666 Au
0.667 0.667 0.334 Au
0.840 0.083 0.679 Al
0.500 0.233 0.000 Al
0.160 0.917 0.321 Al
0.500 0.767 0.000 Al
0.840 0.597 0.679 Al
0.160 0.403 0.321 Al
0.000 0.000 0.000 Ir

---

Al4IrAu | Alexandria | PBE | relaxed; DFT formation energy = -0.593 eV per atom; total DFT energy (no corrections) = -30.664 eV per formula unit; space group = Fddd, No. 70; spin magnetization = 0.00 μB/atom
1.0
5.506 0.232 -2.391
-1.271 5.363 -2.392
-0.089 -0.117 7.322
Al Au Ir
8 2 2
direct
0.000 0.233 0.000 Al
0.232 0.500 0.500 Al
0.500 0.232 0.000 Al
0.768 0.500 0.500 Al
0.767 0.000 0.500 Al
0.000 0.767 0.000 Al
0.500 0.768 0.000 Al
0.233 0.000 0.500 Al
0.375 0.625 0.250 Au
0.625 0.375 0.750 Au
0.875 0.125 0.250 Ir
0.125 0.875 0.750 Ir

---

AlIrAu2 | Alexandria | PBE | relaxed; DFT formation energy = -0.192 eV per atom; total DFT energy (no corrections) = -19.925 eV per formula unit; space group = R3m, No. 160; spin magnetization = 0.00 μB/atom
1.0
-8.272 -3.729 -0.059
-7.091 -5.244 2.133
-8.274 -2.628 2.640
Au Al Ir
2 1 1
direct
0.753 0.753 0.753 Au
0.991 0.991 0.991 Au
0.246 0.246 0.246 Al
0.510 0.510 0.510 Ir

---

AlIrAu2 | Alexandria | PBE | relaxed; DFT formation energy = 0.056 eV per atom; total DFT energy (no corrections) = -18.935 eV per formula unit; space group = P4/mmm, No. 123; spin magnetization = 0.00 μB/atom
1.0
3.167 0.000 0.000
0.000 3.167 0.000
0.000 0.000 6.407
Au Al Ir
2 1 1
direct
0.000 0.000 0.520 Au
0.000 0.000 0.980 Au
0.500 0.500 0.750 Al
0.500 0.500 0.250 Ir

---

AlIrAu2 | Alexandria | PBE | relaxed; DFT formation energy = -0.203 eV per atom; total DFT energy (no corrections) = -19.970 eV per formula unit; space group = P4/mmm, No. 123; spin magnetization = 0.00 μB/atom
1.0
4.133 0.000 0.000
0.000 3.936 0.000
0.000 0.000 3.936
Au Al Ir
2 1 1
direct
0.000 0.000 0.000 Au
0.000 0.500 0.500 Au
0.500 0.000 0.500 Al
0.500 0.500 0.000 Ir

---

AlIrAu2 | Alexandria | PBE | relaxed; DFT formation energy = -0.157 eV per atom; total DFT energy (no corrections) = -19.788 eV per formula unit; space group = P2/m, No. 10; spin magnetization = 0.00 μB/atom
1.0
3.030 0.000 0.000
0.000 4.614 -0.006
0.000 3.247 4.628
Al Au Ir
1 2 1
direct
0.000 0.000 0.500 Al
0.000 0.000 0.000 Au
0.500 0.500 0.000 Au
0.500 0.500 0.500 Ir

---

AlIr2Au | Alexandria | PBE | relaxed; DFT formation energy = -0.073 eV per atom; total DFT energy (no corrections) = -25.035 eV per formula unit; space group = Pmmm, No. 47; spin magnetization = 0.00 μB/atom
1.0
-2.130 -1.895 -0.268
1.573 -2.306 3.808
-2.642 2.592 2.661
Ir Al Au
2 1 1
direct
0.500 0.500 0.000 Ir
0.000 0.000 0.000 Ir
0.500 0.000 0.500 Al
0.000 0.500 0.500 Au

---

AlIrAu2 | Alexandria | PBE | relaxed; DFT formation energy = -0.066 eV per atom; total DFT energy (no corrections) = -19.424 eV per formula unit; space group = F-43m, No. 216; spin magnetization = 0.00 μB/atom
1.0
-3.416 -2.612 1.381
-0.827 -3.923 -2.080
0.851 -3.900 2.114
Al Au Ir
1 2 1
direct
0.500 0.500 0.500 Al
0.000 0.000 0.000 Au
0.250 0.250 0.250 Au
0.750 0.750 0.750 Ir

---

AlIr2Au | Alexandria | PBE | relaxed; DFT formation energy = -0.233 eV per atom; total DFT energy (no corrections) = -25.673 eV per formula unit; space group = R-3m, No. 166; spin magnetization = 0.00 μB/atom
1.0
-2.601 -6.345 -5.855
0.112 -7.075 -5.589
-1.791 -8.013 -3.727
Al Au Ir
1 1 2
direct
0.250 0.250 0.250 Al
0.750 0.750 0.750 Au
0.990 0.990 0.990 Ir
0.510 0.510 0.510 Ir

---

AlIr2Au | Alexandria | PBE | relaxed; DFT formation energy = -0.067 eV per atom; total DFT energy (no corrections) = -25.008 eV per formula unit; space group = I-4m2, No. 119; spin magnetization = 0.00 μB/atom
1.0
4.799 -0.002 0.000
1.545 4.544 0.000
-3.172 -2.271 2.795
Ir Au Al
2 1 1
direct
0.000 0.000 0.000 Ir
0.250 0.750 0.500 Ir
0.750 0.250 0.500 Au
0.500 0.500 0.000 Al

---

AlIrAu2 | Alexandria | PBE | relaxed; DFT formation energy = -0.269 eV per atom; total DFT energy (no corrections) = -20.236 eV per formula unit; space group = P4mm, No. 99; spin magnetization = 0.00 μB/atom
1.0
2.955 0.573 0.000
-0.573 2.955 0.000
0.000 0.000 7.139
Al Au Ir
1 2 1
direct
0.500 0.500 0.726 Al
0.000 0.000 0.974 Au
0.500 0.500 0.260 Au
0.000 0.000 0.539 Ir